The following is a DFT calculation (PBE with a Hubbard U) of a geometry-optimized K2Na4Co2O5 structure. Values from VASP.

Summary:
SG: P2_1/c (14)
Total magnetic moment, μB per formula unit: 6.0
E_tot, eV/atom: -4.51

Quantum ESPRESSO input file:
```
&SYSTEM
  ibrav = 0, nat = 26, ntyp = 4
/
ATOMIC_SPECIES
Na 22.99 Na.upf
O 16.00 O.upf
K 39.10 K.upf
Co 58.93 Co.upf
ATOMIC_POSITIONS crystal
Na 0.5015 0.2204 0.2797
Na 0.5016 0.7477 0.2501
Na 0.4985 0.7796 0.7203
Na 0.0015 0.7796 0.2203
Na 0.0016 0.2523 0.2499
Na 0.9985 0.2204 0.7797
Na 0.9984 0.7477 0.7501
Na 0.4984 0.2523 0.7499
O 0.2910 0.5531 0.1586
O 0.2090 0.5531 0.6586
O 0.2833 0.8780 0.8361
O 0.7910 0.4469 0.3414
O 0.7167 0.1220 0.1639
O 0.7090 0.4469 0.8414
O 0.5000 0.0000 0.5000
O 0.2167 0.8780 0.3361
O 0.7833 0.1220 0.6639
O 0.0000 0.0000 0.0000
K 0.8047 0.7003 0.4955
K 0.1953 0.2997 0.5045
K 0.3047 0.2997 0.0045
K 0.6953 0.7003 0.9955
Co 0.2865 0.7881 0.4982
Co 0.7135 0.2119 0.5018
Co 0.7865 0.2119 0.0018
Co 0.2135 0.7881 0.9982
CELL_PARAMETERS angstrom
-5.7575 -2.3436 1.4410
2.5836 -5.7541 0.9646
4.1360 -3.3615 11.0583
```